Record 1
# SmSiPd | the Alexandria database | SCAN | single point on PBEsol structure
data_SmSiPd
_space_group_name_H-M_alt 'P -6 m 2'
_space_group_IT_number 187
_space_group_name_Hall 'P -6 2'
_cell_length_a 4.3093
_cell_length_b 4.3093
_cell_length_c 3.6559
_cell_angle_alpha 90.00
_cell_angle_beta 90.00
_cell_angle_gamma 120.00
loop_
_atom_site_label
_atom_site_type_symbol
_atom_site_fract_x
_atom_site_fract_y
_atom_site_fract_z
_atom_site_occupancy
Sm1 Sm 0.0000 0.0000 0.0000 1
Si1 Si 0.3333 0.6667 0.5000 1
Pd1 Pd 0.6667 0.3333 0.5000 1
# DFT total energy   -1.105 hartree per atom


Record 2
# Si3SnPd | the Alexandria database | SCAN | single point on PBEsol structure
data_Si3SnPd
_space_group_name_H-M_alt 'P m -3 m'
_space_group_IT_number 221
_space_group_name_Hall '-P 4 2 3'
_cell_length_a 4.679
_cell_length_b 4.679
_cell_length_c 4.679
_cell_angle_alpha 90.00
_cell_angle_beta 90.00
_cell_angle_gamma 90.00
loop_
_atom_site_label
_atom_site_type_symbol
_atom_site_fract_x
_atom_site_fract_y
_atom_site_fract_z
_atom_site_occupancy
Si1 Si 0.000 0.000 0.500 1
Sn1 Sn 0.500 0.500 0.500 1
Pd1 Pd 0.000 0.000 0.000 1
# DFT total energy   -0.702 hartree per atom


Record 3
# SrSiPd | the Alexandria database | SCAN | single point on PBEsol structure
data_SrSiPd
_space_group_name_H-M_alt 'P 21 3'
_space_group_IT_number 198
_space_group_name_Hall 'P 2ac 2ab 3'
_cell_length_a 6.475
_cell_length_b 6.475
_cell_length_c 6.475
_cell_angle_alpha 90.00
_cell_angle_beta 90.00
_cell_angle_gamma 90.00
loop_
_atom_site_label
_atom_site_type_symbol
_atom_site_fract_x
_atom_site_fract_y
_atom_site_fract_z
_atom_site_occupancy
Sr1 Sr 0.130 0.130 0.130 1
Si1 Si 0.162 0.338 0.662 1
Pd1 Pd 0.089 0.589 0.911 1
# DFT total energy   -0.828 hartree per atom


Record 4
# SrSi2Pd | the Alexandria database | SCAN | single point on PBEsol structure
data_SrSi2Pd
_space_group_name_H-M_alt 'F m -3 m'
_space_group_IT_number 225
_space_group_name_Hall '-F 4 2 3'
_cell_length_a 6.660
_cell_length_b 6.660
_cell_length_c 6.660
_cell_angle_alpha 90.00
_cell_angle_beta 90.00
_cell_angle_gamma 90.00
loop_
_atom_site_label
_atom_site_type_symbol
_atom_site_fract_x
_atom_site_fract_y
_atom_site_fract_z
_atom_site_occupancy
Sr1 Sr 0.000 0.000 0.000 1
Si1 Si 0.250 0.250 0.250 1
Pd1 Pd 0.000 0.000 0.500 1
# DFT total energy   -0.687 hartree per atom


Record 5
# SrSi3Pd | the Alexandria database | SCAN | single point on PBEsol structure
data_SrSi3Pd
_space_group_name_H-M_alt 'P m -3 m'
_space_group_IT_number 221
_space_group_name_Hall '-P 4 2 3'
_cell_length_a 5.204
_cell_length_b 5.204
_cell_length_c 5.204
_cell_angle_alpha 90.00
_cell_angle_beta 90.00
_cell_angle_gamma 90.00
loop_
_atom_site_label
_atom_site_type_symbol
_atom_site_fract_x
_atom_site_fract_y
_atom_site_fract_z
_atom_site_occupancy
Sr1 Sr 0.000 0.000 0.000 1
Si1 Si 0.000 0.000 0.500 1
Pd1 Pd 0.500 0.500 0.500 1
# DFT total energy   -0.546 hartree per atom


Record 6
# SrSi2Pd2 | the Alexandria database | SCAN | single point on PBEsol structure
data_SrSi2Pd2
_space_group_name_H-M_alt 'I 4/m m m'
_space_group_IT_number 139
_space_group_name_Hall '-I 4 2'
_cell_length_a 4.260
_cell_length_b 4.260
_cell_length_c 9.952
_cell_angle_alpha 90.00
_cell_angle_beta 90.00
_cell_angle_gamma 90.00
loop_
_atom_site_label
_atom_site_type_symbol
_atom_site_fract_x
_atom_site_fract_y
_atom_site_fract_z
_atom_site_occupancy
Sr1 Sr 0.000 0.000 0.000 1
Si1 Si 0.000 0.000 0.374 1
Pd1 Pd 0.000 0.500 0.250 1
# DFT total energy   -0.822 hartree per atom


Record 7
# SrSiPd3 | the Alexandria database | SCAN | single point on PBEsol structure
data_SrSiPd3
_space_group_name_H-M_alt 'P m -3 m'
_space_group_IT_number 221
_space_group_name_Hall '-P 4 2 3'
_cell_length_a 4.616
_cell_length_b 4.616
_cell_length_c 4.616
_cell_angle_alpha 90.00
_cell_angle_beta 90.00
_cell_angle_gamma 90.00
loop_
_atom_site_label
_atom_site_type_symbol
_atom_site_fract_x
_atom_site_fract_y
_atom_site_fract_z
_atom_site_occupancy
Sr1 Sr 0.000 0.000 0.000 1
Si1 Si 0.500 0.500 0.500 1
Pd1 Pd 0.000 0.500 0.500 1
# DFT total energy   -0.983 hartree per atom


Record 8
# TbSiPd | the Alexandria database | SCAN | single point on PBEsol structure
data_TbSiPd
_space_group_name_H-M_alt 'P n m a'
_space_group_IT_number 62
_cell_length_a 6.946
_cell_length_b 4.280
_cell_length_c 7.400
_cell_angle_alpha 90.00
_cell_angle_beta 90.00
_cell_angle_gamma 90.00
loop_
_space_group_symop_operation_xyz
'x,y,z'
'-x,-y,-z'
'-x+1/2,-y,z+1/2'
'x+1/2,y,-z+1/2'
'x+1/2,-y+1/2,-z+1/2'
'-x+1/2,y+1/2,z+1/2'
'-x,y+1/2,-z'
'x,-y+1/2,z'
loop_
_atom_site_label
_atom_site_type_symbol
_atom_site_fract_x
_atom_site_fract_y
_atom_site_fract_z
_atom_site_occupancy
Tb1 Tb 0.003 0.250 0.201 1
Si1 Si 0.195 0.250 0.590 1
Pd1 Pd 0.191 0.750 0.418 1
# DFT total energy   -1.136 hartree per atom


Record 9
# TiSiTcPd2 | the Alexandria database | SCAN | single point on PBEsol structure
data_TiSiTcPd2
_space_group_name_H-M_alt 'P 4/m m m'
_space_group_IT_number 123
_space_group_name_Hall '-P 4 2'
_cell_length_a 4.320
_cell_length_b 4.320
_cell_length_c 4.605
_cell_angle_alpha 90.00
_cell_angle_beta 90.00
_cell_angle_gamma 90.00
loop_
_atom_site_label
_atom_site_type_symbol
_atom_site_fract_x
_atom_site_fract_y
_atom_site_fract_z
_atom_site_occupancy
Ti1 Ti 0.000 0.000 0.000 1
Si1 Si 0.000 0.000 0.500 1
Tc1 Tc 0.500 0.500 0.000 1
Pd1 Pd 0.000 0.500 0.500 1
# DFT total energy   -0.914 hartree per atom


Record 10
# ThSi2Pd2 | the Alexandria database | SCAN | single point on PBEsol structure
data_ThSi2Pd2
_space_group_name_H-M_alt 'I 4/m m m'
_space_group_IT_number 139
_space_group_name_Hall '-I 4 2'
_cell_length_a 4.182
_cell_length_b 4.182
_cell_length_c 9.970
_cell_angle_alpha 90.00
_cell_angle_beta 90.00
_cell_angle_gamma 90.00
loop_
_atom_site_label
_atom_site_type_symbol
_atom_site_fract_x
_atom_site_fract_y
_atom_site_fract_z
_atom_site_occupancy
Th1 Th 0.000 0.000 0.000 1
Si1 Si 0.000 0.000 0.381 1
Pd1 Pd 0.000 0.500 0.250 1
# DFT total energy   -1.370 hartree per atom


Record 11
# Ti2SiPd | the Alexandria database | SCAN | single point on PBEsol structure
data_Ti2SiPd
_space_group_name_H-M_alt 'I -4 2 d'
_space_group_IT_number 122
_space_group_name_Hall 'I -4 2bw'
_cell_length_a 7.009
_cell_length_b 7.009
_cell_length_c 5.114
_cell_angle_alpha 90.00
_cell_angle_beta 90.00
_cell_angle_gamma 90.00
loop_
_atom_site_label
_atom_site_type_symbol
_atom_site_fract_x
_atom_site_fract_y
_atom_site_fract_z
_atom_site_occupancy
Ti1 Ti 0.249 0.250 0.125 1
Si1 Si 0.000 0.000 0.000 1
Pd1 Pd 0.000 0.000 0.500 1
# DFT total energy   -0.696 hartree per atom


Record 12
# Tm3Si6Pd20 | the Alexandria database | SCAN | single point on PBEsol structure
data_Tm3Si6Pd20
_space_group_name_H-M_alt 'F m -3 m'
_space_group_IT_number 225
_space_group_name_Hall '-F 4 2 3'
_cell_length_a 12.096
_cell_length_b 12.096
_cell_length_c 12.096
_cell_angle_alpha 90.00
_cell_angle_beta 90.00
_cell_angle_gamma 90.00
loop_
_atom_site_label
_atom_site_type_symbol
_atom_site_fract_x
_atom_site_fract_y
_atom_site_fract_z
_atom_site_occupancy
Tm1 Tm 0.000 0.000 0.000 1
Tm2 Tm 0.250 0.250 0.250 1
Si1 Si 0.000 0.000 0.268 1
Pd1 Pd 0.000 0.173 0.173 1
Pd2 Pd 0.117 0.117 0.383 1
# DFT total energy   -1.137 hartree per atom


Record 13
# TmSi2Pd2 | the Alexandria database | SCAN | single point on PBEsol structure
data_TmSi2Pd2
_space_group_name_H-M_alt 'I 4/m m m'
_space_group_IT_number 139
_space_group_name_Hall '-I 4 2'
_cell_length_a 4.062
_cell_length_b 4.062
_cell_length_c 9.893
_cell_angle_alpha 90.00
_cell_angle_beta 90.00
_cell_angle_gamma 90.00
loop_
_atom_site_label
_atom_site_type_symbol
_atom_site_fract_x
_atom_site_fract_y
_atom_site_fract_z
_atom_site_occupancy
Tm1 Tm 0.000 0.000 0.000 1
Si1 Si 0.000 0.000 0.384 1
Pd1 Pd 0.000 0.500 0.250 1
# DFT total energy   -1.046 hartree per atom


Record 14
# USi2Pd2 | the Alexandria database | SCAN | single point on PBEsol structure
data_USi2Pd2
_space_group_name_H-M_alt 'I 4/m m m'
_space_group_IT_number 139
_space_group_name_Hall '-I 4 2'
_cell_length_a 3.992
_cell_length_b 3.992
_cell_length_c 10.233
_cell_angle_alpha 90.00
_cell_angle_beta 90.00
_cell_angle_gamma 90.00
loop_
_atom_site_label
_atom_site_type_symbol
_atom_site_fract_x
_atom_site_fract_y
_atom_site_fract_z
_atom_site_occupancy
U1 U 0.000 0.000 0.000 1
Si1 Si 0.000 0.000 0.389 1
Pd1 Pd 0.000 0.500 0.250 1
# DFT total energy   -1.411 hartree per atom


Record 15
# Y2Si2Pd | the Alexandria database | SCAN | single point on PBEsol structure
data_Y2Si2Pd
_space_group_name_H-M_alt 'P 4/m b m'
_space_group_IT_number 127
_space_group_name_Hall '-P 4 2ab'
_cell_length_a 6.539
_cell_length_b 6.539
_cell_length_c 4.438
_cell_angle_alpha 90.00
_cell_angle_beta 90.00
_cell_angle_gamma 90.00
loop_
_atom_site_label
_atom_site_type_symbol
_atom_site_fract_x
_atom_site_fract_y
_atom_site_fract_z
_atom_site_occupancy
Y1 Y 0.173 0.327 0.000 1
Si1 Si 0.134 0.634 0.500 1
Pd1 Pd 0.000 0.000 0.500 1
# DFT total energy   -0.832 hartree per atom


Record 16
# YSiPd | the Alexandria database | SCAN | single point on PBEsol structure
data_YSiPd
_space_group_name_H-M_alt 'P m m n'
_space_group_IT_number 59
_cell_length_a 4.288
_cell_length_b 13.813
_cell_length_c 7.367
_cell_angle_alpha 90.00
_cell_angle_beta 90.00
_cell_angle_gamma 90.00
loop_
_space_group_symop_operation_xyz
'x,y,z'
'-x,-y,-z'
'-x+1/2,-y+1/2,z'
'x+1/2,y+1/2,-z'
'x+1/2,-y,-z'
'-x+1/2,y,z'
'-x,y+1/2,-z'
'x,-y+1/2,z'
loop_
_atom_site_label
_atom_site_type_symbol
_atom_site_fract_x
_atom_site_fract_y
_atom_site_fract_z
_atom_site_occupancy
Y1 Y 0.250 0.002 0.207 1
Y2 Y 0.250 0.250 0.300 1
Y3 Y 0.250 0.750 0.293 1
Si1 Si 0.250 0.102 0.591 1
Si2 Si 0.250 0.657 0.909 1
Pd1 Pd 0.250 0.143 0.923 1
Pd2 Pd 0.250 0.593 0.582 1
# DFT total energy   -0.906 hartree per atom


Record 17
# YSi2Pd2 | the Alexandria database | SCAN | single point on PBEsol structure
data_YSi2Pd2
_space_group_name_H-M_alt 'I 4/m m m'
_space_group_IT_number 139
_space_group_name_Hall '-I 4 2'
_cell_length_a 4.095
_cell_length_b 4.095
_cell_length_c 9.901
_cell_angle_alpha 90.00
_cell_angle_beta 90.00
_cell_angle_gamma 90.00
loop_
_atom_site_label
_atom_site_type_symbol
_atom_site_fract_x
_atom_site_fract_y
_atom_site_fract_z
_atom_site_occupancy
Y1 Y 0.000 0.000 0.000 1
Si1 Si 0.000 0.000 0.383 1
Pd1 Pd 0.000 0.500 0.250 1
# DFT total energy   -0.872 hartree per atom


Record 18
# YSiPd | the Alexandria database | SCAN | single point on PBEsol structure
data_YSiPd
_space_group_name_H-M_alt 'C 1 2/m 1'
_space_group_IT_number 12
_cell_length_a 10.207
_cell_length_b 4.210
_cell_length_c 6.899
_cell_angle_alpha 90.00
_cell_angle_beta 132.18
_cell_angle_gamma 90.00
loop_
_space_group_symop_operation_xyz
'x,y,z'
'-x,-y,-z'
'-x,y,-z'
'x,-y,z'
'x+1/2,y+1/2,z'
'-x+1/2,-y+1/2,-z'
'-x+1/2,y+1/2,-z'
'x+1/2,-y+1/2,z'
loop_
_atom_site_label
_atom_site_type_symbol
_atom_site_fract_x
_atom_site_fract_y
_atom_site_fract_z
_atom_site_occupancy
Y1 Y 0.051 0.000 0.312 1
Si1 Si 0.154 0.500 0.099 1
Pd1 Pd 0.181 0.500 0.745 1
# DFT total energy   -0.903 hartree per atom


Record 19
# Zr2Si2Pd | the Alexandria database | SCAN | single point on PBEsol structure
data_Zr2Si2Pd
_space_group_name_H-M_alt 'P 4/m b m'
_space_group_IT_number 127
_space_group_name_Hall '-P 4 2ab'
_cell_length_a 6.407
_cell_length_b 6.407
_cell_length_c 4.033
_cell_angle_alpha 90.00
_cell_angle_beta 90.00
_cell_angle_gamma 90.00
loop_
_atom_site_label
_atom_site_type_symbol
_atom_site_fract_x
_atom_site_fract_y
_atom_site_fract_z
_atom_site_occupancy
Zr1 Zr 0.172 0.328 0.000 1
Si1 Si 0.130 0.630 0.500 1
Pd1 Pd 0.000 0.000 0.500 1
# DFT total energy   -0.875 hartree per atom


Record 20
# Sm3Pd | the Alexandria database | SCAN | single point on PBEsol structure
data_Sm3Pd
_space_group_name_H-M_alt 'I 4/m m m'
_space_group_IT_number 139
_space_group_name_Hall '-I 4 2'
_cell_length_a 4.380
_cell_length_b 4.380
_cell_length_c 10.644
_cell_angle_alpha 90.00
_cell_angle_beta 90.00
_cell_angle_gamma 90.00
loop_
_atom_site_label
_atom_site_type_symbol
_atom_site_fract_x
_atom_site_fract_y
_atom_site_fract_z
_atom_site_occupancy
Sm1 Sm 0.000 0.000 0.000 1
Sm2 Sm 0.000 0.500 0.250 1
Pd1 Pd 0.000 0.000 0.500 1
# DFT formation energy   -198 meV/atom
# DFT total energy   -1.533 hartree per atom


Record 21
# Sm3Pd4 | the Alexandria database | SCAN | single point on PBEsol structure
data_Sm3Pd4
_space_group_name_H-M_alt 'R -3'
_space_group_IT_number 148
_space_group_name_Hall '-R 3'
_cell_length_a 13.2991
_cell_length_b 13.2991
_cell_length_c 5.7133
_cell_angle_alpha 90.00
_cell_angle_beta 90.00
_cell_angle_gamma 120.00
loop_
_atom_site_label
_atom_site_type_symbol
_atom_site_fract_x
_atom_site_fract_y
_atom_site_fract_z
_atom_site_occupancy
Sm1 Sm 0.0426 0.8323 0.2372 1
Pd1 Pd 0.0000 0.0000 0.0000 1
Pd2 Pd 0.0000 0.0000 0.5000 1
Pd3 Pd 0.0548 0.7811 0.7219 1
# DFT formation energy   -938 meV/atom
# DFT total energy   -1.423 hartree per atom


Record 22
# SmPd3 | the Alexandria database | SCAN | single point on PBEsol structure
data_SmPd3
_space_group_name_H-M_alt 'P m -3 m'
_space_group_IT_number 221
_space_group_name_Hall '-P 4 2 3'
_cell_length_a 4.091
_cell_length_b 4.091
_cell_length_c 4.091
_cell_angle_alpha 90.00
_cell_angle_beta 90.00
_cell_angle_gamma 90.00
loop_
_atom_site_label
_atom_site_type_symbol
_atom_site_fract_x
_atom_site_fract_y
_atom_site_fract_z
_atom_site_occupancy
Sm1 Sm 0.000 0.000 0.000 1
Pd1 Pd 0.000 0.500 0.500 1
# DFT formation energy   -877 meV/atom
# DFT total energy   -1.344 hartree per atom


Record 23
# Sn4Pd | the Alexandria database | SCAN | single point on PBEsol structure
data_Sn4Pd
_space_group_name_H-M_alt 'C c c e'
_space_group_IT_number 68
_cell_length_a 6.414
_cell_length_b 11.395
_cell_length_c 6.392
_cell_angle_alpha 90.00
_cell_angle_beta 90.00
_cell_angle_gamma 90.00
loop_
_space_group_symop_operation_xyz
'x,y,z'
'-x,-y,-z'
'-x+1/2,-y,z'
'x+1/2,y,-z'
'x+1/2,-y,-z+1/2'
'-x+1/2,y,z+1/2'
'-x,y,-z+1/2'
'x,-y,z+1/2'
'x+1/2,y+1/2,z'
'-x+1/2,-y+1/2,-z'
'-x,-y+1/2,z'
'x,y+1/2,-z'
'x,-y+1/2,-z+1/2'
'-x,y+1/2,z+1/2'
'-x+1/2,y+1/2,-z+1/2'
'x+1/2,-y+1/2,z+1/2'
loop_
_atom_site_label
_atom_site_type_symbol
_atom_site_fract_x
_atom_site_fract_y
_atom_site_fract_z
_atom_site_occupancy
Sn1 Sn 0.167 0.124 0.080 1
Pd1 Pd 0.000 0.250 0.750 1
# DFT formation energy   -168 meV/atom
# DFT total energy   -1.303 hartree per atom


Record 24
# SnPd2 | the Alexandria database | SCAN | single point on PBEsol structure
data_SnPd2
_space_group_name_H-M_alt 'P n m a'
_space_group_IT_number 62
_cell_length_a 5.596
_cell_length_b 4.333
_cell_length_c 8.100
_cell_angle_alpha 90.00
_cell_angle_beta 90.00
_cell_angle_gamma 90.00
loop_
_space_group_symop_operation_xyz
'x,y,z'
'-x,-y,-z'
'-x+1/2,-y,z+1/2'
'x+1/2,y,-z+1/2'
'x+1/2,-y+1/2,-z+1/2'
'-x+1/2,y+1/2,z+1/2'
'-x,y+1/2,-z'
'x,-y+1/2,z'
loop_
_atom_site_label
_atom_site_type_symbol
_atom_site_fract_x
_atom_site_fract_y
_atom_site_fract_z
_atom_site_occupancy
Sn1 Sn 0.201 0.250 0.112 1
Pd1 Pd 0.051 0.250 0.789 1
Pd2 Pd 0.174 0.250 0.441 1
# DFT formation energy   -497 meV/atom
# DFT total energy   -1.261 hartree per atom


no.,Fermi-level density of states (states/eV per atom)
1,0.48
2,0.57
3,0.18
4,0.24
5,0.54
6,0.51
7,0.47
8,0.49
9,0.72
10,0.40
11,0.81
12,0.39
13,0.51
14,1.40
15,0.46
16,0.29
17,0.51
18,0.42
19,0.36
20,1.31
21,0.41
22,0.22
23,0.32
24,0.37